(1)
Entry from Alexandria via LeMat-Bulk: KCdAsF6 after structural relaxation (PBE).

The structure in POSCAR format:
```
KCdAsF6
1.0
2.9443 -5.1129 0.0000
2.9443 5.1129 0.0000
-0.0063 0.0000 5.4591
K Cd As F
1 1 1 6
Direct
0.0000 0.0000 0.0000 K
0.6664 0.3336 0.5000 Cd
0.3336 0.6664 0.5000 As
0.0237 0.3848 0.2930 F
0.0266 0.6407 0.7064 F
0.3593 0.9734 0.2936 F
0.3609 0.3841 0.7076 F
0.6152 0.9763 0.7070 F
0.6159 0.6391 0.2924 F
```

Computed properties:
Formation energy (no corrections)   -2.29 eV/atom
Electronic total energy   -4.275 eV per atom
Symmetry   C2


(2)
Entry from Alexandria via LeMat-Bulk: CaCrNi after structural relaxation (PBE).

The structure in POSCAR format:
```
CaCrNi
1.0
0.0000 3.1679 3.1679
3.1679 0.0000 3.1679
3.1679 3.1679 0.0000
Ca Cr Ni
1 1 1
Direct
0.0000 0.0000 0.0000 Ca
0.5000 0.5000 0.5000 Cr
0.2500 0.2500 0.2500 Ni
```

Computed properties:
Electronic total energy   -5.256 eV per atom
Formation enthalpy at 0 K   0.546 eV per atom
Symmetry   F-43m


(3)
Entry from Alexandria via LeMat-Bulk: DyTmTl2 after structural relaxation (PBE).

The structure in POSCAR format:
```
DyTmTl2
1.0
1.8587 1.0731 9.6109
-1.8587 1.0731 9.6109
0.0000 -2.1462 9.6109
Dy Tm Tl
1 1 2
Direct
0.0000 0.0000 0.0000 Dy
0.5000 0.5000 0.5000 Tm
0.2492 0.2492 0.2492 Tl
0.7508 0.7508 0.7508 Tl
```

Computed properties:
Electronic total energy   -3.702 eV per atom
Formation enthalpy at 0 K   -0.251 eV per atom
Symmetry   R-3m


(4)
Entry from Alexandria via LeMat-Bulk: PPb2Cl after structural relaxation (PBE).

The structure in POSCAR format:
```
PPb2Cl
1.0
2.0756 1.1984 8.4602
-2.0756 1.1984 8.4602
0.0000 -2.3967 8.4602
P Pb Cl
1 2 1
Direct
0.0000 0.0000 0.0000 P
0.2840 0.2840 0.2840 Pb
0.5201 0.5201 0.5201 Pb
0.7913 0.7913 0.7913 Cl
```

Computed properties:
Formation energy (no corrections)   -0.09 eV/atom
Electronic total energy   -3.758 eV per atom
Symmetry   R3m


Which formula does entry 3 have? DyTmTl2